Material: Zr3Pa
Method: DFT, PBE
State: optimized geometry

Cell: 6.191 11.593 5.285 Å, 90.00 90.00 90.00°
Space group Cmcm (No. 63)
Inequivalent atoms, fractional coordinates:
Zr1 0.000 0.072 0.250 [4 per cell]
Zr2 0.250 0.185 0.750 [8 per cell]
Pa1 0.000 0.439 0.750 [4 per cell]

Properties
E above lowest polymorph, eV per atom: 0.0000
Formation enthalpy at 0 K, eV per atom: 0.060

***

Material: ZrPa
Method: DFT, PBE
State: optimized geometry

Cell: 3.104 5.330 11.558 Å, 90.00 90.00 90.00°
Space group Pmmn (No. 59, origin choice 2)
Inequivalent atoms, fractional coordinates:
Zr1 0.250 0.250 0.058 [2 per cell]
Zr2 0.250 0.750 0.186 [2 per cell]
Pa1 0.250 0.250 0.564 [2 per cell]
Pa2 0.250 0.750 0.688 [2 per cell]

Properties
E above lowest polymorph, eV per atom: 0.0000
Formation enthalpy at 0 K, eV per atom: 0.026

***

Copy entry 2 word for word.
Material: ZrPa
Method: DFT, PBE
State: optimized geometry

Cell: 3.104 5.330 11.558 Å, 90.00 90.00 90.00°
Space group Pmmn (No. 59, origin choice 2)
Inequivalent atoms, fractional coordinates:
Zr1 0.250 0.250 0.058 [2 per cell]
Zr2 0.250 0.750 0.186 [2 per cell]
Pa1 0.250 0.250 0.564 [2 per cell]
Pa2 0.250 0.750 0.688 [2 per cell]

Properties
E above lowest polymorph, eV per atom: 0.0000
Formation enthalpy at 0 K, eV per atom: 0.026

***

Which value of formation enthalpy at 0 K does entry 1 give?
0.060 eV per atom

***

E above lowest polymorph of number 2 (ZrPa)?
0.0000 eV per atom